Record 1
The following is a DFT calculation (PBE-GGA) of crystalline Ac2LaPmNd at its relaxed geometry.

Cell lengths 9.009, 6.997, 6.433 Å; angles 90.00, 90.07, 90.00 degrees
Fractional coordinates of all 10 atoms:
Ac 0.201 0.196 0.250
Ac 0.201 0.804 0.750
Ac 0.799 0.196 0.250
Ac 0.799 0.804 0.750
La 0.500 0.500 0.000
La 0.500 0.500 0.500
Pm 0.000 0.339 0.750
Pm 0.000 0.661 0.250
Nd 0.500 0.083 0.750
Nd 0.500 0.917 0.250

Its final energy is -4.28 eV per atom. The density of states at the Fermi level is 13.93 states/eV/cell. The calculation puts the energy of formation from the pure elements at 0.248 eV per atom. For the total magnetic moment, the calculation gives 0.00 μB per cell. Its space-group type is P2/c.

***

Record 2
The following is a DFT calculation (PBE-GGA) of crystalline Ce2HfCo16 at its relaxed geometry.

Cell lengths 8.372, 8.372, 8.209 Å; angles 90.00, 90.00, 120.00 degrees
Fractional coordinates of all 38 atoms:
Ce 0.000 0.000 0.249
Ce 0.000 0.000 0.751
Ce 0.333 0.667 0.270
Ce 0.667 0.333 0.730
Hf 0.333 0.667 0.887
Hf 0.667 0.333 0.113
Co 0.000 0.500 0.000
Co 0.000 0.500 0.500
Co 0.039 0.366 0.749
Co 0.039 0.673 0.749
Co 0.164 0.327 0.027
Co 0.164 0.836 0.027
Co 0.166 0.332 0.485
Co 0.166 0.834 0.485
Co 0.327 0.164 0.973
Co 0.327 0.366 0.749
Co 0.327 0.961 0.749
Co 0.332 0.166 0.515
Co 0.333 0.667 0.591
Co 0.366 0.039 0.251
Co 0.366 0.327 0.251
Co 0.500 0.000 0.000
Co 0.500 0.000 0.500
Co 0.500 0.500 0.000
Co 0.500 0.500 0.500
Co 0.634 0.673 0.749
Co 0.634 0.961 0.749
Co 0.667 0.333 0.409
Co 0.668 0.834 0.485
Co 0.673 0.039 0.251
Co 0.673 0.634 0.251
Co 0.673 0.836 0.027
Co 0.834 0.166 0.515
Co 0.834 0.668 0.515
Co 0.836 0.164 0.973
Co 0.836 0.673 0.973
Co 0.961 0.327 0.251
Co 0.961 0.634 0.251

Its final energy is -7.26 eV per atom. The density of states at the Fermi level is 55.46 states/eV/cell. The calculation puts the energy of formation from the pure elements at -0.124 eV per atom. For the total magnetic moment, the calculation gives 38.03 μB per cell. Its space-group type is P-3m1.